First-principles (PBE-GGA) data for crystalline NiPtCl6 at its relaxed geometry, as listed in Alexandria via LeMat-Bulk.

Cell and atoms, written as POSCAR:
```
NiPtCl6
1.0
6.0145 0.0000 0.0000
0.0000 11.5670 0.0000
-2.0874 0.0000 5.6397
Ni Pt Cl
2 2 12
direct
0.0000 0.0000 0.0000
0.5000 0.5000 0.0000
0.0000 0.5000 0.5000
0.5000 0.0000 0.5000
0.2434 0.5000 0.2575
0.2463 0.1358 0.2459
0.2463 0.8642 0.2459
0.2537 0.3642 0.7541
0.2537 0.6358 0.7541
0.2566 0.0000 0.7425
0.7434 0.0000 0.2575
0.7463 0.3642 0.2459
0.7463 0.6358 0.2459
0.7537 0.1358 0.7541
0.7537 0.8642 0.7541
0.7566 0.5000 0.7425
```

Formation energy (no corrections) ... -0.404 eV per atom
Fermi-level density of states ... 12.31 states/eV/cell
Raw total energy ... -0.120 hartree per atom